The following is a DFT calculation (PBE-GGA) of a relaxed Al6Mo crystal.

Structure (extended XYZ):
```
7
Lattice="0.000 3.908 3.908 3.908 0.000 3.908 3.908 3.908 0.000" Properties=species:S:1:pos:R:3 pbc="T T T"
Al 1.954 1.954 0.000
Al 1.954 0.000 1.954
Al 3.908 1.954 1.954
Al 0.000 1.954 1.954
Al 1.954 3.908 1.954
Al 1.954 1.954 3.908
Mo 0.000 0.000 0.000
```

## Properties
crystal system	cubic
space-group type	Fm-3m (225)
electronic total energy	-33.45	eV for the cell shown